(1)
The following is a DFT calculation (GGA-PBE) of a geometry-optimized MgSnGe2 structure.

a b c (Å): 6.5462 6.5462 10.9573
angles (deg): 90.00 90.00 90.00
Space group I-42d (No. 122)
Unique sites:
Mg 0.0000 0.0000 0.0000
Sn 0.0000 0.0000 0.5000
Ge 0.2461 0.2500 0.6250

=====

(2)
The following is a DFT calculation (GGA-PBE) of a geometry-optimized Mg6Sn2Ge structure.

a b c (Å): 4.7302 4.7302 11.5350
angles (deg): 90.00 90.00 120.00
Space group P-3m1 (No. 164)
Unique sites:
Mg 0.0000 0.0000 0.2397
Mg 0.3333 0.6667 0.4151
Mg 0.3333 0.6667 0.9246
Sn 0.3333 0.6667 0.6707
Ge 0.0000 0.0000 0.0000

=====

(3)
The following is a DFT calculation (GGA-PBE) of a geometry-optimized Mg5Sn2Ge2 structure.

a b c (Å): 16.4101 6.9777 6.9730
angles (deg): 90.00 90.00 90.00
Space group Cmce (No. 64)
Unique sites:
Mg 0.0000 0.0000 0.0000
Mg 0.1219 0.1770 0.3253
Sn 0.2315 0.0000 0.0000
Ge 0.0000 0.1288 0.6298

=====

(4)
The following is a DFT calculation (GGA-PBE) of a geometry-optimized MgSnGe2 structure.

a b c (Å): 7.0350 7.0350 7.0350
angles (deg): 90.00 90.00 90.00
Space group Fm-3m (No. 225)
Unique sites:
Mg 0.0000 0.0000 0.0000
Sn 0.0000 0.0000 0.5000
Ge 0.2500 0.2500 0.2500

=====

(5)
The following is a DFT calculation (GGA-PBE) of a geometry-optimized Mg6Sn2Ge structure.

a b c (Å): 4.7243 6.6866 14.1457
angles (deg): 90.00 90.00 90.00
Space group Immm (No. 71)
Unique sites:
Mg 0.0000 0.2378 0.0000
Mg 0.0000 0.2569 0.3395
Sn 0.0000 0.5000 0.1663
Ge 0.0000 0.5000 0.5000

=====

(6)
The following is a DFT calculation (GGA-PBE) of a geometry-optimized Sr2Mg4Sn3Ge structure.

a b c (Å): 4.7354 4.7354 12.1638
angles (deg): 90.00 90.00 90.00
Space group P-4m2 (No. 115)
Unique sites:
Sr 0.0000 0.5000 0.2424
Mg 0.0000 0.0000 0.5000
Mg 0.0000 0.5000 0.8699
Mg 0.5000 0.5000 0.5000
Sn 0.0000 0.0000 0.0000
Sn 0.0000 0.5000 0.6417
Ge 0.5000 0.5000 0.0000

=====

(7)
The following is a DFT calculation (GGA-PBE) of a geometry-optimized SrMg4Ge2 structure.

a b c (Å): 8.6380 8.6380 4.3845
angles (deg): 90.00 90.00 90.00
Space group P4_2/mnm (No. 136)
Unique sites:
Sr 0.0000 0.0000 0.0000
Mg 0.0884 0.3369 0.5000
Ge 0.2129 0.7871 0.5000

=====

(8)
The following is a DFT calculation (GGA-PBE) of a geometry-optimized SrMg4Ge3 structure.

a b c (Å): 4.5700 4.5700 8.8298
angles (deg): 90.00 90.00 90.00
Space group P4/mmm (No. 123)
Unique sites:
Sr 0.0000 0.0000 0.0000
Mg 0.0000 0.5000 0.3187
Ge 0.0000 0.0000 0.5000
Ge 0.5000 0.5000 0.1448

=====

Calculated total moment, 0.00, 0.00, 0.00, 0.00, 0.00, 0.00, 0.00, 0.00 Bohr magnetons per cell (same order as the records).
Calculated uncorrected energy, -55.2, -24.0, -106.8, -57.2, -48.2, -30.5, -39.4, -25.0 eV per cell (same order as the records).